P.
# Ba2NiIr | Alexandria via LeMat-Bulk | PBE-GGA | optimized geometry
data_Ba2NiIr
_chemical_formula_sum 'Ba2 Ni1 Ir1'
_cell_length_a 3.6074
_cell_length_b 3.9632
_cell_length_c 7.7785
_cell_angle_alpha 90.00
_cell_angle_beta 90.00
_cell_angle_gamma 90.00
_symmetry_space_group_name_H-M 'P m m m'
_symmetry_Int_Tables_number 47
loop_
_symmetry_equiv_pos_as_xyz
'x,y,z'
'-x,-y,-z'
'-x,-y,z'
'x,y,-z'
'x,-y,-z'
'-x,y,z'
'-x,y,-z'
'x,-y,z'
loop_
_atom_site_label
_atom_site_fract_x
_atom_site_fract_y
_atom_site_fract_z
Ba1 0.0000 0.0000 0.2418
Ni1 0.5000 0.5000 0.5000
Ir1 0.5000 0.5000 0.0000
# Magnetization   0.515 μB/f.u.
# Density   7.85 Mg/m³
# Volume   111.2 Å³/f.u.



Q.
# Ba2NiIr | Alexandria via LeMat-Bulk | PBE-GGA | optimized geometry
data_Ba2NiIr
_chemical_formula_sum 'Ba6 Ni3 Ir3'
_cell_length_a 4.3263
_cell_length_b 4.3263
_cell_length_c 25.9409
_cell_angle_alpha 90.00
_cell_angle_beta 90.00
_cell_angle_gamma 120.00
_symmetry_space_group_name_H-M 'R 3 m'
_symmetry_Int_Tables_number 160
_symmetry_space_group_name_Hall 'R 3 -2"'
loop_
_atom_site_label
_atom_site_fract_x
_atom_site_fract_y
_atom_site_fract_z
Ba1 0.0000 0.0000 0.0000
Ba2 0.0000 0.0000 0.1594
Ni1 0.0000 0.0000 0.4130
Ir1 0.0000 0.0000 0.7464
# Magnetization   0.321 μB/f.u.
# Density   6.23 Mg/m³
# Volume   140.2 Å³/f.u.



R.
# Ba2NiIr | Alexandria via LeMat-Bulk | PBE-GGA | optimized geometry
data_Ba2NiIr
_chemical_formula_sum 'Ba8 Ni4 Ir4'
_cell_length_a 7.4062
_cell_length_b 7.4062
_cell_length_c 7.4062
_cell_angle_alpha 90.00
_cell_angle_beta 90.00
_cell_angle_gamma 90.00
_symmetry_space_group_name_H-M 'F -4 3 m'
_symmetry_Int_Tables_number 216
_symmetry_space_group_name_Hall 'F -4 2 3'
loop_
_atom_site_label
_atom_site_fract_x
_atom_site_fract_y
_atom_site_fract_z
Ba1 0.0000 0.0000 0.0000
Ba2 0.2500 0.2500 0.2500
Ni1 0.2500 0.2500 0.7500
Ir1 0.0000 0.0000 0.5000
# Magnetization   0.693 μB/f.u.
# Density   8.59 Mg/m³
# Volume   101.6 Å³/f.u.



Stability summary - winner: Q; margin: 478 meV/atom.



P.
# Ba2IrO4 | Alexandria via LeMat-Bulk | PBE-GGA | optimized geometry
data_Ba2IrO4
_chemical_formula_sum 'Ba4 Ir2 O8'
_cell_length_a 4.0603
_cell_length_b 4.0603
_cell_length_c 13.5134
_cell_angle_alpha 90.00
_cell_angle_beta 90.00
_cell_angle_gamma 90.00
_symmetry_space_group_name_H-M 'I 4/m m m'
_symmetry_Int_Tables_number 139
_symmetry_space_group_name_Hall '-I 4 2'
loop_
_atom_site_label
_atom_site_fract_x
_atom_site_fract_y
_atom_site_fract_z
Ba1 0.0000 0.0000 0.1450
Ir1 0.0000 0.0000 0.5000
O1 0.0000 0.0000 0.3455
O2 0.0000 0.5000 0.0000
# Magnetization   0.115 μB/f.u.
# Density   7.91 Mg/m³
# Volume   111.4 Å³/f.u.



Q.
# Ba2IrO4 | Alexandria via LeMat-Bulk | PBE-GGA | optimized geometry
data_Ba2IrO4
_chemical_formula_sum 'Ba2 Ir1 O4'
_cell_length_a 6.1365
_cell_length_b 6.1365
_cell_length_c 3.6914
_cell_angle_alpha 90.00
_cell_angle_beta 90.00
_cell_angle_gamma 90.00
_symmetry_space_group_name_H-M 'P 4/m m m'
_symmetry_Int_Tables_number 123
_symmetry_space_group_name_Hall '-P 4 2'
loop_
_atom_site_label
_atom_site_fract_x
_atom_site_fract_y
_atom_site_fract_z
Ba1 0.0000 0.5000 0.0000
Ir1 0.0000 0.0000 0.5000
O1 0.2226 0.2226 0.5000
# Magnetization   2.992 μB/f.u.
# Density   6.34 Mg/m³
# Volume   139.0 Å³/f.u.



Stability summary - winner: Q; margin: 15 meV/atom.